This record from Alexandria describes a geometry-optimized AlGaN2F structure. The functional is PBE.

Unit cell a=3.897 b=3.897 c=3.764 alpha=90.00 beta=90.00 gamma=90.00
Last column: magnetic moment on the atom in μB.
Sites, in units of the cell vectors:
N: 0.000 0.500 0.000  0.13
N: 0.500 0.000 0.000  0.13
Al: 0.500 0.500 0.500  -0.01
Ga: 0.000 0.000 0.000  0.00
F: 0.000 0.000 0.500  0.00

## Properties
Its density of states at the Fermi level is 0.44 states/eV/atom. The value obtained for the relative energy among the computed polymorphs is 259 kJ/mol of formula units. The raw formation energy is 0.23 eV per atom.